This record from the Alexandria database describes ScCdRe2 after structural relaxation. The functional is PBE.

```
4
Lattice="5.486 0.004 -0.001 -2.654 4.801 -0.001 0.501 0.850 2.584" Properties=species:S:1:pos:R:3 pbc="T T T"
Cd -1.076 2.826 1.291
Re 1.416 2.402 -0.001
Re 0.000 0.000 0.000
Sc 2.994 0.427 1.291
```

Properties
SG: C2/m
ρ, g/cm³: 12.9
ΔE_f, eV/atom: 0.307